# 1
Computed, not measured: an optimized crystal structure of K2PrPuSe4 at the PBE level of DFT.

Summary:
For the total moment, the calculation gives 5.00 μB per formula unit. For the formation energy (no corrections), the calculation gives -36.80 kcal/mol of atoms. As for the total energy: -48.0 eV/cell.

```
data_K2PrPuSe4
_cell_length_a 7.523
_cell_length_b 4.340
_cell_length_c 8.069
_cell_angle_alpha 90.00
_cell_angle_beta 108.14
_cell_angle_gamma 90.00
_space_group_name_H-M_alt 'P 1 2/m 1'
_space_group_IT_number 10
loop_
_space_group_symop_operation_xyz
'x,y,z'
'-x,-y,-z'
'-x,y,-z'
'x,-y,z'
loop_
_atom_site_label
_atom_site_fract_x
_atom_site_fract_y
_atom_site_fract_z
_atom_site_occupancy
K1 0.000 0.000 0.000 1
K2 0.500 0.500 0.000 1
Pr1 0.000 0.500 0.500 1
Pu1 0.500 0.000 0.500 1
Se1 0.242 0.000 0.712 1
Se2 0.271 0.500 0.294 1
```


# 2
Computed, not measured: an optimized crystal structure of Hf2UBe at the PBE level of DFT.

Summary:
For the total moment, the calculation gives 1.69 μB per formula unit. The value obtained for the excess energy over the best structure of this formula in the dataset is 0 meV/atom. As for the total energy: -34.4 eV/cell. Its energy of formation is 3.181 kcal/mol of atoms.

```
data_Hf2UBe
_cell_length_a 3.040
_cell_length_b 3.040
_cell_length_c 8.204
_cell_angle_alpha 90.00
_cell_angle_beta 90.00
_cell_angle_gamma 90.00
_space_group_name_H-M_alt 'P 4/m m m'
_space_group_IT_number 123
_space_group_name_Hall '-P 4 2'
loop_
_atom_site_label
_atom_site_fract_x
_atom_site_fract_y
_atom_site_fract_z
_atom_site_occupancy
Hf1 0.000 0.000 0.202 1
U1 0.500 0.500 0.500 1
Be1 0.500 0.500 0.000 1
```


Look up the total moment of the second one. 1.69 μB per formula unit